Computed, not measured: ZrTiCuS4 at its PBEsol-relaxed geometry at the SCAN level of DFT.

Summary:
Symmetry: Imma (74)
Energy relative to the elements, uncorrected (meV/atom): -1423

Cell lengths 7.129, 7.129, 7.129 Å; angles 120.73, 119.13, 90.12 degrees
Element x y z (fractional)
Zr (0.000, 0.000, 0.000)
Zr (0.500, 0.000, 0.500)
Ti (0.500, 0.000, 0.000)
Ti (0.500, 0.500, 0.500)
Cu (0.119, 0.369, 0.750)
Cu (0.881, 0.631, 0.250)
S (0.257, 0.260, 0.503)
S (0.257, 0.754, 0.997)
S (0.260, 0.747, 0.513)
S (0.266, 0.253, 0.013)
S (0.734, 0.747, 0.987)
S (0.740, 0.253, 0.487)
S (0.743, 0.246, 0.003)
S (0.743, 0.740, 0.497)